Entry 1:
The following is a DFT calculation (PBE) of Tl2ZnPb after structural relaxation.

Cell and atoms, written as POSCAR:
```
Tl2ZnPb
1.0
3.4860 0.0000 0.0000
0.0000 3.8144 0.0000
0.0000 0.0000 8.3345
Tl Zn Pb
2 1 1
direct
0.0000 0.0000 0.0000 Tl
0.5000 0.5000 0.2913 Tl
0.0000 0.0000 0.5027 Zn
0.5000 0.5000 0.7101 Pb
```

Calculated values
Excess energy over the best structure of this formula in the dataset (kJ per mole of atoms): 0.00

Entry 2:
The following is a DFT calculation (PBE) of NaOs2O6 after structural relaxation.

Cell and atoms, written as POSCAR:
```
NaOs2O6
1.0
0.0000 5.0932 5.0932
5.0932 0.0000 5.0932
5.0932 5.0932 0.0000
Na Os O
2 4 12
direct
0.1250 0.1250 0.1250 Na
0.8750 0.8750 0.8750 Na
0.0000 0.5000 0.5000 Os
0.5000 0.0000 0.5000 Os
0.5000 0.5000 0.0000 Os
0.5000 0.5000 0.5000 Os
0.1832 0.1832 0.5668 O
0.1832 0.5668 0.1832 O
0.1832 0.5668 0.5668 O
0.4332 0.4332 0.8168 O
0.4332 0.8168 0.4332 O
0.4332 0.8168 0.8168 O
0.5668 0.1832 0.1832 O
0.5668 0.1832 0.5668 O
0.5668 0.5668 0.1832 O
0.8168 0.4332 0.4332 O
0.8168 0.4332 0.8168 O
0.8168 0.8168 0.4332 O
```

Calculated values
E_form (uncorrected) (eV/atom): -1.08
Excess energy over the best structure of this formula in the dataset (kJ per mole of atoms): 2.70

Entry 3:
The following is a DFT calculation (PBE) of BIr2Pt after structural relaxation.

Cell and atoms, written as POSCAR:
```
BIr2Pt
1.0
-2.4042 2.4042 5.8468
2.4042 -2.4042 5.8468
2.4042 2.4042 -5.8468
B Ir Pt
2 4 2
direct
0.0000 0.0000 0.0000 B
0.7500 0.2500 0.5000 B
0.0327 0.6250 0.9077 Ir
0.3750 0.2827 0.4077 Ir
0.7173 0.1250 0.0923 Ir
0.8750 0.9673 0.5923 Ir
0.2500 0.7500 0.5000 Pt
0.5000 0.5000 0.0000 Pt
```

Entry 4:
The following is a DFT calculation (PBE) of Cs2U3ReO12 after structural relaxation.

Cell and atoms, written as POSCAR:
```
Cs2U3ReO12
1.0
3.9617 2.2873 6.1806
-3.9617 2.2873 6.1806
0.0000 -4.5746 6.1806
Cs U Re O
2 3 1 12
direct
0.1274 0.1274 0.1274 Cs
0.8726 0.8726 0.8726 Cs
0.0000 0.5000 0.5000 U
0.5000 0.0000 0.5000 U
0.5000 0.5000 0.0000 U
0.5000 0.5000 0.5000 Re
0.1797 0.1797 0.5616 O
0.1797 0.5616 0.1797 O
0.2050 0.5567 0.5567 O
0.4384 0.8203 0.8203 O
0.4433 0.4433 0.7950 O
0.4433 0.7950 0.4433 O
0.5567 0.2050 0.5567 O
0.5567 0.5567 0.2050 O
0.5616 0.1797 0.1797 O
0.7950 0.4433 0.4433 O
0.8203 0.4384 0.8203 O
0.8203 0.8203 0.4384 O
```

Calculated values
E_form (uncorrected) (eV/atom): -2.68

Entry 5:
The following is a DFT calculation (PBE) of Ca3SbMo after structural relaxation.

Cell and atoms, written as POSCAR:
```
Ca3SbMo
1.0
5.3982 0.0000 0.0000
0.0000 5.3982 0.0000
0.0000 0.0000 5.3982
Ca Sb Mo
3 1 1
direct
0.0000 0.0000 0.5000 Ca
0.0000 0.5000 0.0000 Ca
0.5000 0.0000 0.0000 Ca
0.5000 0.5000 0.5000 Sb
0.0000 0.0000 0.0000 Mo
```

Calculated values
E_form (uncorrected) (eV/atom): 0.63
Excess energy over the best structure of this formula in the dataset (kJ per mole of atoms): 6.46

Entry 6:
The following is a DFT calculation (PBE) of CoTc2PtRh after structural relaxation.

Cell and atoms, written as POSCAR:
```
CoTc2PtRh
1.0
4.5743 0.0000 0.0000
0.0000 4.5743 0.0000
0.0000 0.0000 4.8719
Co Tc Pt Rh
1 2 1 1
direct
0.0000 0.0000 0.0000 Co
0.0000 0.5000 0.5000 Tc
0.5000 0.0000 0.5000 Tc
0.5000 0.5000 0.0000 Pt
0.5000 0.5000 0.5000 Rh
```

Entry 7:
The following is a DFT calculation (PBE) of BaAu2Se2 after structural relaxation.

Cell and atoms, written as POSCAR:
```
BaAu2Se2
1.0
-2.1284 2.1284 6.9388
2.1284 -2.1284 6.9388
2.1284 2.1284 -6.9388
Ba Au Se
1 2 2
direct
0.0000 0.0000 0.0000 Ba
0.2500 0.7500 0.5000 Au
0.7500 0.2500 0.5000 Au
0.3835 0.3835 0.0000 Se
0.6165 0.6165 0.0000 Se
```

Calculated values
E_form (uncorrected) (eV/atom): -0.66

Entry 8:
The following is a DFT calculation (PBE) of CsTe2Pb2 after structural relaxation.

Cell and atoms, written as POSCAR:
```
CsTe2Pb2
1.0
-3.0048 3.0048 5.7005
3.0048 -3.0048 5.7005
3.0048 3.0048 -5.7005
Cs Te Pb
1 2 2
direct
0.0000 0.0000 0.0000 Cs
0.2500 0.7500 0.5000 Te
0.7500 0.2500 0.5000 Te
0.3507 0.3507 0.0000 Pb
0.6493 0.6493 0.0000 Pb
```

Calculated values
E_form (uncorrected) (eV/atom): -0.51
Excess energy over the best structure of this formula in the dataset (kJ per mole of atoms): 0.00

Entry 9:
The following is a DFT calculation (PBE) of Sr3IrW after structural relaxation.

Cell and atoms, written as POSCAR:
```
Sr3IrW
1.0
5.5832 0.0000 0.0000
0.0000 5.5832 0.0000
0.0000 0.0000 5.5832
Sr Ir W
3 1 1
direct
0.0000 0.0000 0.5000 Sr
0.0000 0.5000 0.0000 Sr
0.5000 0.0000 0.0000 Sr
0.5000 0.5000 0.5000 Ir
0.0000 0.0000 0.0000 W
```

Calculated values
Excess energy over the best structure of this formula in the dataset (kJ per mole of atoms): 62.98

Entry 10:
The following is a DFT calculation (PBE) of Ni2Mo2As after structural relaxation.

Cell and atoms, written as POSCAR:
```
Ni2Mo2As
1.0
5.8938 0.0000 0.0000
0.0000 5.8938 0.0000
0.0000 0.0000 4.0185
Ni Mo As
4 4 2
direct
0.1395 0.3605 0.0000 Ni
0.3605 0.8605 0.0000 Ni
0.6395 0.1395 0.0000 Ni
0.8605 0.6395 0.0000 Ni
0.1565 0.6565 0.5000 Mo
0.3435 0.1565 0.5000 Mo
0.6565 0.8435 0.5000 Mo
0.8435 0.3435 0.5000 Mo
0.0000 0.0000 0.0000 As
0.5000 0.5000 0.0000 As
```

Entry 11:
The following is a DFT calculation (PBE) of CsTlPb2Cl8 after structural relaxation.

Cell and atoms, written as POSCAR:
```
CsTlPb2Cl8
1.0
6.6732 0.0000 0.0000
0.7680 6.9411 0.0000
1.1097 1.8971 9.1170
Cs Tl Pb Cl
1 1 2 8
direct
0.0000 0.0000 0.0000 Cs
0.0000 0.0000 0.5000 Tl
0.4770 0.4505 0.2429 Pb
0.5230 0.5495 0.7571 Pb
0.1257 0.7087 0.7353 Cl
0.2176 0.8091 0.3203 Cl
0.2977 0.2077 0.5088 Cl
0.4207 0.2596 0.0269 Cl
0.5793 0.7404 0.9731 Cl
0.7023 0.7923 0.4912 Cl
0.7824 0.1909 0.6797 Cl
0.8743 0.2913 0.2647 Cl
```

Calculated values
E_form (uncorrected) (eV/atom): -1.11

Entry 12:
The following is a DFT calculation (PBE) of LaYCd2 after structural relaxation.

Cell and atoms, written as POSCAR:
```
LaYCd2
1.0
0.0000 3.8057 3.8057
3.8057 0.0000 3.8057
3.8057 3.8057 0.0000
La Y Cd
1 1 2
direct
0.0000 0.0000 0.0000 La
0.2500 0.2500 0.2500 Y
0.5000 0.5000 0.5000 Cd
0.7500 0.7500 0.7500 Cd
```

Calculated values
Excess energy over the best structure of this formula in the dataset (kJ per mole of atoms): 31.11

no.,theoretical density (g/cm³),energy (eV per cell)
1,10.21,-9.4
2,6.28,-126.5
3,14.50,-56.3
4,6.71,-155.7
5,3.57,-17.8
6,9.01,-31.4
7,9.10,-18.7
8,6.47,-17.1
9,6.10,-18.6
10,9.14,-74.6
11,4.07,-38.7
12,6.82,-13.3